# SrMnSb2

A PBEsol-optimized structure of SrMnSb2 (SCAN, the Alexandria database).

a = 5.2393 Å, b = 5.2393 Å, c = 5.2393 Å
α = 60.00°, β = 60.00°, γ = 60.00°
Fractional positions:
Sr 0.0000 0.0000 0.0000
Mn 0.5000 0.5000 0.5000
Sb 0.2500 0.2500 0.2500
Sb 0.7500 0.7500 0.7500

Values from the calculation:
The calculation puts the magnetic moment at 0.99 μB/atom. As for the crystal system: cubic. The value obtained for the total energy is -116.2 eV/cell. The density of states at the Fermi level is 2.4 states/eV per cell.